The following is a DFT calculation (PBE+U) of a relaxed LiPmCrF6 crystal.

Output
The value obtained for the total magnetization is 4.0 μB/cell. As for the electronic total energy: -5.7920 eV per atom. The density of states at the Fermi level is 0.716 states/eV per atom.

```
18
Lattice="-4.280 -0.575 -3.487 0.918 -3.820 3.920 -5.284 4.605 5.726" Properties=species:S:1:pos:R:3 pbc="T T T"
Li 0.000 0.000 0.000
Li -2.642 2.303 2.863
Pm -2.135 -1.587 2.883
Pm -6.510 1.797 3.277
Cr -3.868 -0.505 0.414
Cr -4.777 0.715 5.746
F -3.001 -2.317 0.884
F -4.511 -1.175 -1.429
F -3.754 -0.995 6.278
F -4.134 1.385 7.588
F -3.175 0.332 2.167
F -5.519 -1.327 1.339
F -6.534 -0.040 6.520
F -4.891 1.205 -0.119
F -3.127 1.537 4.820
F -2.111 0.250 -0.361
F -5.470 -0.122 3.992
F -5.644 2.528 5.276
```